1.
VASP calculation (PBE) on a geometry-optimized Na2Tl4In structure.

calculated formation energy: 0.0 eV per formula unit
total energy: -2.124 eV/atom

Cell lengths 8.0682, 8.0682, 6.2842 Å; angles 90.00, 90.00, 90.00 degrees
Closest atoms and distances in Å follow each position.
Space group I4/mmm (No. 139)
Asymmetric unit:
Na 0.0000 0.5000 0.2500 [4 per cell]  2 Na 3.14, 8 Tl 3.31
Tl 0.1974 0.1974 0.0000 [8 per cell]  4 Tl 3.18-3.36, 4 Na 3.31, 1 In 3.45
In 0.0000 0.0000 0.5000 [2 per cell]  12 Tl 3.45-3.87



2.
VASP calculation (PBE) on a geometry-optimized Ce3Te2H structure.

total energy: -5.431 eV/atom

Cell lengths 13.0175, 6.2749, 8.1881 Å; angles 90.00, 108.35, 90.00 degrees
Closest atoms and distances in Å follow each position.
Space group C2/c (No. 15)
Asymmetric unit:
Ce 0.0000 0.0066 0.2500 [4 per cell]  1 H 2.43
Ce 0.1135 0.4993 0.5560 [8 per cell]  2 H 2.56-2.58, 1 Ce 2.80
Te 0.1899 0.0012 0.0952 [8 per cell]  6 Ce 3.11-3.28
H 0.0000 0.3938 0.2500 [4 per cell]  5 Ce 2.43-2.58



3.
VASP calculation (PBE) on a geometry-optimized Sr3AlPb3 structure.

calculated formation energy: -3.1 eV per formula unit
total energy: -3.286 eV/atom

Cell lengths 12.3905, 5.0344, 16.0322 Å; angles 90.00, 108.96, 90.00 degrees
Closest atoms and distances in Å follow each position.
Space group C2/m (No. 12)
Asymmetric unit:
Sr 0.0203 0.0000 0.3829 [4 per cell]  7 Pb 3.46-3.83, 3 Al 3.52-3.73
Sr 0.1003 0.0000 0.9213 [4 per cell]  7 Pb 3.48-3.70
Sr 0.2311 0.0000 0.2307 [4 per cell]  6 Pb 3.38-3.68, 2 Al 3.59
Al 0.2211 0.5000 0.3876 [4 per cell]  4 Pb 2.91-2.96
Pb 0.0161 0.5000 0.2335 [4 per cell]  1 Al 2.91, 1 Pb 3.16
Pb 0.1178 0.5000 0.0766 [4 per cell]  2 Pb 3.15-3.16, 5 Sr 3.48-3.50
Pb 0.1536 0.5000 0.5471 [4 per cell]  3 Al 2.94-2.96



4.
VASP calculation (PBE) on a geometry-optimized ReSn2P structure.

calculated formation energy: 3.7 eV per formula unit
total energy: -5.540 eV/atom

Cell lengths 6.1683, 6.1683, 11.7347 Å; angles 90.00, 90.00, 90.00 degrees
Closest atoms and distances in Å follow each position.
Space group I-42d (No. 122)
Asymmetric unit:
Re 0.0000 0.0000 0.0000 [4 per cell]  4 Sn 2.63
Sn 0.2491 0.2500 0.6250 [8 per cell]  2 P 2.63, 2 Re 2.63
P 0.0000 0.0000 0.5000 [4 per cell]  4 Sn 2.63



5.
VASP calculation (PBE) on a geometry-optimized TaGe2S6 structure.

total energy: -5.517 eV/atom

Cell lengths 12.0872, 10.8724, 6.2743 Å; angles 90.00, 101.11, 90.00 degrees
Closest atoms and distances in Å follow each position.
Space group C2/c (No. 15)
Asymmetric unit:
Ta 0.0000 0.1207 0.2500 [4 per cell]  4 S 2.32-2.46
Ge 0.1984 0.4189 0.3317 [8 per cell]  4 S 2.25-2.33
S 0.1052 0.0801 0.6196 [8 per cell]  1 Ge 2.33, 1 Ta 2.46
S 0.1268 0.4153 0.6383 [8 per cell]  2 Ge 2.25-2.26
S 0.1291 0.2480 0.1300 [8 per cell]  1 Ge 2.31, 1 Ta 2.32



6.
VASP calculation (PBE) on a geometry-optimized Te2PbS structure.

total energy: -3.398 eV/atom

Cell lengths 5.9624, 5.9624, 16.5200 Å; angles 90.00, 90.00, 90.00 degrees
Closest atoms and distances in Å follow each position.
Space group I-42d (No. 122)
Asymmetric unit:
Te 0.1691 0.2500 0.1250 [8 per cell]  2 S 2.74
Pb 0.0000 0.0000 0.5000 [4 per cell]  4 Te 3.22
S 0.0000 0.0000 0.0000 [4 per cell]  4 Te 2.74



Question: The highest total energy belongs to which entry?
Answer: Na2Tl4In



Question: What is the total energy in the fourth record?
Answer: -5.540 eV/atom



Question: What is the total energy in the first record?
Answer: -2.124 eV/atom